The following is a DFT calculation (PBE) of an optimized crystal structure of CdSi3Mo.

abc: 4.801 4.801 4.801
angles: 90.00 90.00 90.00
Fractional positions:
Mo 0.000 0.000 0.000
Si 0.000 0.500 0.000
Si 0.000 0.000 0.500
Si 0.500 0.000 0.000
Cd 0.500 0.500 0.500

Computed properties:
DOS at the Fermi energy = 0.09 states/eV/cell
excess energy over the best structure of this formula in the dataset = 0.000 eV per formula unit
size of the total moment = 0.00 μB per cell

---

The following is a DFT calculation (PBE) of an optimized crystal structure of Ga2CuNi.

abc: 2.880 2.880 6.344
angles: 90.00 90.00 90.00
Fractional positions:
Ni 0.500 0.500 0.000
Cu 0.500 0.500 0.500
Ga 0.000 0.000 0.763
Ga 0.000 0.000 0.237

Computed properties:
DFT total energy = -4.165 eV per atom
DOS at the Fermi energy = 1.58 states/eV/cell
size of the total moment = 0.00 μB per cell

---

The following is a DFT calculation (PBE) of an optimized crystal structure of CsTiVBr6.

abc: 6.852 6.854 8.184
angles: 90.02 90.01 59.99
Fractional positions:
Cs 0.000 0.000 0.000
Ti 0.334 0.333 0.500
V 0.667 0.666 0.500
Br 0.000 0.377 0.317
Br 0.375 0.000 0.682
Br 0.624 0.375 0.682
Br 0.000 0.623 0.683
Br 0.375 0.625 0.318
Br 0.624 0.001 0.318

Computed properties:
DFT total energy = -4.307 eV per atom
DOS at the Fermi energy = 6.61 states/eV/cell
size of the total moment = 4.00 μB per cell

---

The following is a DFT calculation (PBE) of an optimized crystal structure of FePd14W.

abc: 5.600 5.600 7.748
angles: 90.00 90.00 90.00
Fractional positions:
Fe 0.375 0.375 0.500
Pd 0.875 0.875 0.000
Pd 0.375 0.375 0.000
Pd 0.875 0.375 0.500
Pd 0.875 0.375 0.000
Pd 0.375 0.875 0.500
Pd 0.375 0.875 0.000
Pd 0.626 0.124 0.260
Pd 0.626 0.124 0.740
Pd 0.124 0.626 0.260
Pd 0.124 0.626 0.740
Pd 0.626 0.626 0.260
Pd 0.626 0.626 0.740
Pd 0.124 0.124 0.260
Pd 0.124 0.124 0.740
W 0.875 0.875 0.500

Computed properties:
DFT total energy = -5.951 eV per atom
DOS at the Fermi energy = 19.83 states/eV/cell
size of the total moment = 4.14 μB per cell